A relaxed ZrHgIr2 crystal, computed with GGA-PBE.

Computed properties:
Space-group type: P4mm, No. 99
ΔE_f: 6 meV per atom
Crystal system: tetragonal

a = 2.9068 Å, b = 2.9068 Å, c = 8.3563 Å
α = 90.00°, β = 90.00°, γ = 90.00°
With the nearest neighbours (Å) after each atom.
Sites, in units of the cell vectors:
Zr 0.0000 0.0000 0.0000  4 Zr 2.91, 4 Ir 2.92, 4 Hg 3.14
Hg 0.5000 0.5000 0.2845  4 Hg 2.91, 4 Ir 2.97, 4 Zr 3.14
Ir 0.0000 0.0000 0.5404  8 Ir 2.71-2.91, 4 Hg 2.97
Ir 0.5000 0.5000 0.7525  8 Ir 2.71-2.91, 4 Zr 2.92

***

A relaxed Ti2TeAu2 crystal, computed with GGA-PBE.

Computed properties:
Space-group type: I4/mmm, No. 139
Crystal system: tetragonal
Formation energy (no corrections): 1 kJ per mole of atoms

a = 6.9969 Å, b = 6.9969 Å, c = 6.9969 Å
α = 146.22°, β = 146.22°, γ = 48.52°
With the nearest neighbours (Å) after each atom.
Sites, in units of the cell vectors:
Ti 0.2500 0.7500 0.5000  4 Au 2.72, 4 Ti 2.87
Ti 0.7500 0.2500 0.5000  4 Au 2.72, 4 Ti 2.87
Te 0.0000 0.0000 0.0000  8 Au 3.19
Au 0.3912 0.3912 0.0000  4 Ti 2.72, 1 Au 2.78
Au 0.6088 0.6088 0.0000  4 Ti 2.72, 1 Au 2.78